BaPmAgI6 after structural relaxation, computed with PBE.

Computed properties:
Mass density (Mg/m³): 4.62
E_form (uncorrected) (eV/atom): -1.2269
Density of states at the Fermi level (states/eV per cell): 0.0

```
data_BaPmAgI6
_symmetry_space_group_name_H-M 'P 1'
_symmetry_Int_Tables_number 1
_symmetry_space_group_name_Hall 'P 1'
_cell_length_a 7.941
_cell_length_b 7.941
_cell_length_c 15.162
_cell_angle_alpha 90.00
_cell_angle_beta 90.00
_cell_angle_gamma 120.00
loop_
_atom_site_label
_atom_site_fract_x
_atom_site_fract_y
_atom_site_fract_z
I1 0.638 0.998 0.367
I2 0.638 0.641 0.133
I3 0.362 0.002 0.633
I4 0.641 0.002 0.867
I5 0.998 0.359 0.633
I6 0.641 0.638 0.633
I7 0.002 0.362 0.133
I8 0.359 0.362 0.367
I9 0.359 0.998 0.133
I10 0.998 0.638 0.867
I11 0.362 0.359 0.867
I12 0.002 0.641 0.367
Pm1 0.333 0.667 0.750
Pm2 0.667 0.333 0.250
Ba1 0.000 0.000 0.500
Ba2 0.000 0.000 0.000
Ag1 0.333 0.667 0.250
Ag2 0.667 0.333 0.750
```

CaHf2Co after structural relaxation, computed with PBE.

Computed properties:
Mass density (Mg/m³): 9.66
Density of states at the Fermi level (states/eV per cell): 3.9
Energy of formation (eV per atom): 0.481
E above lowest polymorph (eV per formula unit): 0.76

```
data_CaHf2Co
_symmetry_space_group_name_H-M 'P 1'
_symmetry_Int_Tables_number 1
_symmetry_space_group_name_Hall 'P 1'
_cell_length_a 4.804
_cell_length_b 4.804
_cell_length_c 4.804
_cell_angle_alpha 60.00
_cell_angle_beta 60.00
_cell_angle_gamma 60.00
loop_
_atom_site_label
_atom_site_fract_x
_atom_site_fract_y
_atom_site_fract_z
Ca1 0.000 0.000 0.000
Hf1 0.250 0.250 0.250
Hf2 0.750 0.750 0.750
Co1 0.500 0.500 0.500
```

PmSm2YEr after structural relaxation, computed with PBE.

Computed properties:
Mass density (Mg/m³): 6.60
Density of states at the Fermi level (states/eV per cell): 14.1
Energy of formation (eV per atom): 0.383

```
data_PmSm2YEr
_symmetry_space_group_name_H-M 'P 1'
_symmetry_Int_Tables_number 1
_symmetry_space_group_name_Hall 'P 1'
_cell_length_a 7.224
_cell_length_b 8.407
_cell_length_c 7.178
_cell_angle_alpha 125.85
_cell_angle_beta 90.00
_cell_angle_gamma 90.00
loop_
_atom_site_label
_atom_site_fract_x
_atom_site_fract_y
_atom_site_fract_z
Sm1 0.000 0.307 0.000
Sm2 0.000 0.693 0.000
Sm3 0.500 0.307 0.000
Sm4 0.500 0.693 0.000
Er1 0.750 0.018 0.037
Er2 0.250 0.982 0.963
Pm1 0.250 0.718 0.435
Pm2 0.750 0.282 0.565
Y1 0.250 0.260 0.521
Y2 0.750 0.740 0.479
```

Au3CSe after structural relaxation, computed with PBE.

Computed properties:
Mass density (Mg/m³): 9.00
E_form (uncorrected) (eV/atom): 1.7958
Density of states at the Fermi level (states/eV per cell): 4.2

```
data_Au3CSe
_symmetry_space_group_name_H-M 'P 1'
_symmetry_Int_Tables_number 1
_symmetry_space_group_name_Hall 'P 1'
_cell_length_a 5.010
_cell_length_b 5.010
_cell_length_c 5.010
_cell_angle_alpha 90.00
_cell_angle_beta 90.00
_cell_angle_gamma 90.00
loop_
_atom_site_label
_atom_site_fract_x
_atom_site_fract_y
_atom_site_fract_z
Au1 0.500 0.000 0.000
Au2 0.000 0.000 0.500
Au3 0.000 0.500 0.000
C1 0.500 0.500 0.500
Se1 0.000 0.000 0.000
```

BaThSnAs3 after structural relaxation, computed with PBE.

Computed properties:
Mass density (Mg/m³): 6.69
Density of states at the Fermi level (states/eV per cell): 4.8
Energy of formation (eV per atom): -0.815

```
data_BaThSnAs3
_symmetry_space_group_name_H-M 'P 1'
_symmetry_Int_Tables_number 1
_symmetry_space_group_name_Hall 'P 1'
_cell_length_a 4.713
_cell_length_b 7.766
_cell_length_c 9.861
_cell_angle_alpha 101.15
_cell_angle_beta 90.00
_cell_angle_gamma 90.00
loop_
_atom_site_label
_atom_site_fract_x
_atom_site_fract_y
_atom_site_fract_z
As1 0.750 0.998 0.121
As2 0.250 0.002 0.879
As3 0.250 0.758 0.432
As4 0.250 0.477 0.838
As5 0.750 0.242 0.568
As6 0.750 0.523 0.162
Sn1 0.750 0.911 0.374
Sn2 0.250 0.089 0.626
Ba1 0.250 0.299 0.298
Ba2 0.750 0.701 0.702
Th1 0.750 0.266 0.906
Th2 0.250 0.734 0.094
```

GdTmAgOs after structural relaxation, computed with PBE.

Computed properties:
Mass density (Mg/m³): 12.17
Density of states at the Fermi level (states/eV per cell): 2.0
Energy of formation (eV per atom): -0.268

```
data_GdTmAgOs
_symmetry_space_group_name_H-M 'P 1'
_symmetry_Int_Tables_number 1
_symmetry_space_group_name_Hall 'P 1'
_cell_length_a 4.939
_cell_length_b 4.939
_cell_length_c 4.939
_cell_angle_alpha 60.00
_cell_angle_beta 60.00
_cell_angle_gamma 60.00
loop_
_atom_site_label
_atom_site_fract_x
_atom_site_fract_y
_atom_site_fract_z
Ag1 0.250 0.250 0.250
Tm1 0.500 0.500 0.500
Gd1 0.000 0.000 0.000
Os1 0.750 0.750 0.750
```

LuUGa2 after structural relaxation, computed with PBE.

Computed properties:
Mass density (Mg/m³): 10.88
Density of states at the Fermi level (states/eV per cell): 7.0
Energy of formation (eV per atom): -0.254
E above lowest polymorph (eV per formula unit): 0.00

```
data_LuUGa2
_symmetry_space_group_name_H-M 'P 1'
_symmetry_Int_Tables_number 1
_symmetry_space_group_name_Hall 'P 1'
_cell_length_a 3.191
_cell_length_b 3.191
_cell_length_c 8.279
_cell_angle_alpha 90.00
_cell_angle_beta 90.00
_cell_angle_gamma 90.00
loop_
_atom_site_label
_atom_site_fract_x
_atom_site_fract_y
_atom_site_fract_z
U1 0.500 0.500 0.000
Ga1 0.000 0.000 0.744
Ga2 0.000 0.000 0.256
Lu1 0.500 0.500 0.500
```

BaNbRe3 after structural relaxation, computed with PBE.

Computed properties:
Mass density (Mg/m³): 10.76
Density of states at the Fermi level (states/eV per cell): 6.4
Energy of formation (eV per atom): 1.833
E above lowest polymorph (eV per formula unit): 0.00

```
data_BaNbRe3
_symmetry_space_group_name_H-M 'P 1'
_symmetry_Int_Tables_number 1
_symmetry_space_group_name_Hall 'P 1'
_cell_length_a 4.956
_cell_length_b 4.956
_cell_length_c 4.956
_cell_angle_alpha 90.00
_cell_angle_beta 90.00
_cell_angle_gamma 90.00
loop_
_atom_site_label
_atom_site_fract_x
_atom_site_fract_y
_atom_site_fract_z
Re1 0.500 0.000 0.000
Re2 0.000 0.000 0.500
Re3 0.000 0.500 0.000
Nb1 0.000 0.000 0.000
Ba1 0.500 0.500 0.500
```

IrRu3I after structural relaxation, computed with PBE.

Computed properties:
Mass density (Mg/m³): 9.50
E_form (uncorrected) (eV/atom): 1.7397
Density of states at the Fermi level (states/eV per cell): 10.4
E above lowest polymorph (eV per formula unit): 0.00

```
data_IrRu3I
_symmetry_space_group_name_H-M 'P 1'
_symmetry_Int_Tables_number 1
_symmetry_space_group_name_Hall 'P 1'
_cell_length_a 4.773
_cell_length_b 4.773
_cell_length_c 4.773
_cell_angle_alpha 90.00
_cell_angle_beta 90.00
_cell_angle_gamma 90.00
loop_
_atom_site_label
_atom_site_fract_x
_atom_site_fract_y
_atom_site_fract_z
Ru1 0.500 0.000 0.000
Ru2 0.000 0.000 0.500
Ru3 0.000 0.500 0.000
Ir1 0.000 0.000 0.000
I1 0.500 0.500 0.500
```

Y3CoI3 after structural relaxation, computed with PBE.

Computed properties:
Mass density (Mg/m³): 5.40
E_form (uncorrected) (eV/atom): -0.8821
Density of states at the Fermi level (states/eV per cell): 16.3

```
data_Y3CoI3
_symmetry_space_group_name_H-M 'P 1'
_symmetry_Int_Tables_number 1
_symmetry_space_group_name_Hall 'P 1'
_cell_length_a 10.411
_cell_length_b 10.411
_cell_length_c 10.411
_cell_angle_alpha 109.47
_cell_angle_beta 109.47
_cell_angle_gamma 109.47
loop_
_atom_site_label
_atom_site_fract_x
_atom_site_fract_y
_atom_site_fract_z
I1 0.750 0.759 0.741
I2 0.259 0.518 0.509
I3 0.491 0.982 0.741
I4 0.241 0.250 0.759
I5 0.009 0.250 0.991
I6 0.018 0.509 0.759
I7 0.241 0.991 0.982
I8 0.259 0.741 0.250
I9 0.750 0.991 0.509
I10 0.482 0.741 0.991
I11 0.491 0.509 0.250
I12 0.009 0.759 0.518
Y1 0.975 0.225 0.450
Y2 0.725 0.450 0.475
Y3 0.525 0.050 0.275
Y4 0.775 0.025 0.050
Y5 0.250 0.025 0.475
Y6 0.725 0.275 0.750
Y7 0.250 0.225 0.275
Y8 0.775 0.750 0.225
Y9 0.525 0.475 0.750
Y10 0.550 0.275 0.025
Y11 0.975 0.750 0.025
Y12 0.950 0.475 0.225
Co1 0.750 0.500 0.000
Co2 0.000 0.000 0.250
Co3 0.500 0.250 0.500
Co4 0.750 0.250 0.250
```

NaCaGa2Au5 after structural relaxation, computed with PBE.

Computed properties:
Mass density (Mg/m³): 10.55
Density of states at the Fermi level (states/eV per cell): 2.7
Energy of formation (eV per atom): -0.410

```
data_NaCaGa2Au5
_symmetry_space_group_name_H-M 'P 1'
_symmetry_Int_Tables_number 1
_symmetry_space_group_name_Hall 'P 1'
_cell_length_a 4.496
_cell_length_b 4.496
_cell_length_c 9.249
_cell_angle_alpha 90.00
_cell_angle_beta 90.00
_cell_angle_gamma 90.00
loop_
_atom_site_label
_atom_site_fract_x
_atom_site_fract_y
_atom_site_fract_z
Au1 0.000 0.500 0.276
Au2 0.500 0.000 0.724
Au3 0.500 0.000 0.276
Au4 0.500 0.500 0.500
Au5 0.000 0.500 0.724
Ga1 0.500 0.500 0.137
Ga2 0.500 0.500 0.863
Na1 0.000 0.000 0.000
Ca1 0.000 0.000 0.500
```

The lowest mass density belongs to which entry? BaPmAgI6